[1]
Tb2Al5Fe2Cu | Alexandria via LeMat-Bulk | GGA-PBE | optimized geometry; formation energy from the elements = -20 kJ/mol of atoms
1.0
10.374 0.000 0.000
0.000 10.374 0.000
0.000 0.000 3.102
Tb Al Fe Cu
4 10 4 2
Cartesian
1.957 3.230 0.000
3.230 8.417 0.000
7.144 1.957 0.000
8.417 7.144 0.000
0.000 5.187 1.551
0.524 8.320 1.551
2.054 0.524 1.551
3.133 5.712 1.551
4.663 3.133 1.551
5.187 0.000 1.551
5.712 7.241 1.551
7.241 4.663 1.551
8.320 9.850 1.551
9.850 2.054 1.551
1.302 6.489 0.000
3.885 1.302 0.000
6.489 9.072 0.000
9.072 3.885 0.000
0.000 0.000 0.000
5.187 5.187 0.000

---

[2]
Ho12MgCu6 | Alexandria via LeMat-Bulk | GGA-PBE | optimized geometry; formation energy from the elements = -14 kJ/mol of atoms
1.0
-4.918 4.918 4.918
4.918 -4.918 4.918
4.918 4.918 -4.918
Ho Mg Cu
12 1 6
Cartesian
4.918 -1.999 3.058
2.919 1.860 0.000
6.917 1.860 0.000
3.058 4.918 -1.999
1.860 0.000 2.919
0.000 2.919 1.860
4.918 1.999 3.058
3.058 4.918 1.999
1.860 0.000 6.917
-1.999 3.058 4.918
1.999 3.058 4.918
0.000 6.917 1.860
0.000 0.000 0.000
4.918 0.000 1.219
4.918 3.699 0.000
1.219 4.918 0.000
3.699 0.000 4.918
0.000 1.219 4.918
0.000 4.918 3.699

---

[3]
K3PmNp2Te6 | Alexandria via LeMat-Bulk | GGA-PBE | optimized geometry; raw total energy = -5.4600 eV/atom
1.0
3.961 -6.861 0.000
3.961 6.861 0.000
-2.640 0.000 8.230
K Pm Np Te
3 1 2 6
Cartesian
0.000 0.000 0.000
3.961 2.271 0.000
3.961 -2.271 0.000
2.641 0.000 4.115
2.641 4.571 4.115
2.641 -4.571 4.115
1.309 2.306 2.373
-0.023 0.000 5.853
1.309 -2.306 2.373
3.973 2.306 5.856
5.305 0.000 2.377
3.973 -2.306 5.856

---

| no. | DOS(E_F) (states/eV/f.u.) |
| --- | --- |
| 1 | 9.2 |
| 2 | 14.8 |
| 3 | 18.3 |